Here is a geometry-optimized LiNiSe2 structure from the Alexandria database. Energies are from PBE-GGA. Values from VASP.

```
&SYSTEM
  ibrav = 0, nat = 4, ntyp = 3
/
ATOMIC_SPECIES
Ni 58.69 Ni.upf
Se 78.96 Se.upf
Li 6.94 Li.upf
CELL_PARAMETERS angstrom
3.2353 0.0000 0.0000
0.0000 3.2353 0.0000
0.0000 0.0000 6.8746
ATOMIC_POSITIONS crystal
Ni 0.5000 0.5000 0.7393
Se 0.0000 0.0000 0.8780
Se 0.5000 0.5000 0.3695
Li 0.0000 0.0000 0.5132
```

Properties
M_tot   0.000 μB/atom
Mass density   5.2 g/cm³
V   17.990 Å³ per atom
Raw formation energy   -0.3534 eV/atom
SG   P4mm, No. 99